# Sn4HgPbSe8 PBE optimized geometry
data_Sn4HgPbSe8
_chemical_formula_sum 'Sn4 Hg1 Pb1 Se8'
_cell_length_a 8.208
_cell_length_b 8.208
_cell_length_c 8.878
_cell_angle_alpha 62.46
_cell_angle_beta 62.46
_cell_angle_gamma 60.00
_space_group_name_H-M_alt 'P 1'
_space_group_IT_number 1
_space_group_name_Hall 'P 1'
loop_
_atom_site_label
_atom_site_fract_x
_atom_site_fract_y
_atom_site_fract_z
_atom_site_occupancy
Hg1 0.431 0.431 0.706 1
Se1 0.758 0.758 0.726 1
Se2 0.235 0.235 0.294 1
Se3 0.734 0.238 0.294 1
Se4 0.239 0.786 0.737 1
Se5 0.786 0.239 0.737 1
Se6 0.734 0.734 0.294 1
Se7 0.239 0.239 0.737 1
Se8 0.238 0.734 0.294 1
Sn1 0.003 0.003 0.508 1
Sn2 0.003 0.486 0.508 1
Sn3 0.486 0.003 0.508 1
Sn4 0.631 0.631 0.108 1
Pb1 0.984 0.984 0.049 1
# E_form (uncorrected) (meV per atom): -319
# V (Å³/cell): 438.0
# Symmetry: R3m, No. 160